No. 1
The following is a PBE calculation of a relaxed structure of NbHgC3, from Alexandria.

Lattice parameters (Å, degrees): 4.2777 4.2777 4.2777 90.00 90.00 90.00
With the nearest neighbours (Å) after each atom.
Space group Pm-3m (No. 221)
Symmetry-distinct sites (fractional):
Nb  0.0000  0.0000  0.0000 x1  6 C 2.14
Hg  0.5000  0.5000  0.5000 x1  12 C 3.02
C  0.0000  0.0000  0.5000 x3  2 Nb 2.14

Calculated values
ΔH_f (0 K)   2.046 eV/atom
Distance to the lowest polymorph of the same formula   0 meV per atom


No. 2
The following is a PBE calculation of a relaxed structure of RbMgI3, from Alexandria.

Lattice parameters (Å, degrees): 4.6554 9.5715 11.8820 90.00 90.56 90.00
With the nearest neighbours (Å) after each atom.
Space group P2_1/m (No. 11)
Symmetry-distinct sites (fractional):
Rb  0.2469  0.2500  0.2788 x2  6 I 3.63-4.03
Mg  0.2559  0.2500  0.7000 x2  4 I 2.69-2.90
I  0.2483  0.7500  0.4448 x2  2 Mg 2.89-2.90
I  0.2562  0.0134  0.8214 x4  1 Mg 2.69

Calculated values
Formation energy from raw total energies   -1.1754 eV per atom